No. 1
{"formula": "ZnIrPt", "functional": "GGA-PBE", "state": "relaxed", "e_form_ev_per_atom": -0.070, "space_group": "Fmm2", "e_above_lowest_polymorph_ev_per_atom": 0.082, "lattice": [[0.000, 2.368, 6.804], [1.390, 0.000, 6.804], [1.390, 2.368, 0.000]], "species": ["Zn", "Ir", "Pt"], "frac_coords": [[0.000, 0.000, 0.000], [0.659, 0.659, 0.341], [0.338, 0.338, 0.662]]}

No. 2
{"formula": "Zn5IrPt4", "functional": "GGA-PBE", "state": "relaxed", "e_form_ev_per_atom": -0.468, "space_group": "P4/mmm", "lattice": [[2.886, 0.000, 0.000], [0.000, 2.886, 0.000], [0.000, 0.000, 17.421]], "species": ["Zn", "Zn", "Zn", "Zn", "Zn", "Ir", "Pt", "Pt", "Pt", "Pt"], "frac_coords": [[0.000, 0.000, 0.000], [0.000, 0.000, 0.202], [0.000, 0.000, 0.403], [0.000, 0.000, 0.597], [0.000, 0.000, 0.798], [0.500, 0.500, 0.500], [0.500, 0.500, 0.101], [0.500, 0.500, 0.302], [0.500, 0.500, 0.698], [0.500, 0.500, 0.899]]}

No. 3
{"formula": "Zn2IrPt", "functional": "GGA-PBE", "state": "relaxed", "e_form_ev_per_atom": -0.350, "space_group": "P4/mmm", "lattice": [[3.070, 0.000, 0.000], [0.000, 3.070, 0.000], [0.000, 0.000, 6.053]], "species": ["Zn", "Zn", "Ir", "Pt"], "frac_coords": [[0.000, 0.000, 0.243], [0.000, 0.000, 0.757], [0.500, 0.500, 0.000], [0.500, 0.500, 0.500]]}

No. 4
{"formula": "Zn4IrPt", "functional": "GGA-PBE", "state": "relaxed", "e_form_ev_per_atom": -0.165, "space_group": "C2/m", "e_above_lowest_polymorph_ev_per_atom": 0.037, "lattice": [[3.657, -2.118, 0.000], [3.657, 2.118, 0.000], [-2.459, 0.000, 6.793]], "species": ["Zn", "Zn", "Zn", "Zn", "Ir", "Pt"], "frac_coords": [[0.123, 0.123, 0.373], [0.372, 0.372, 0.114], [0.628, 0.628, 0.886], [0.877, 0.877, 0.627], [0.000, 0.000, 0.000], [0.500, 0.500, 0.500]]}

No. 5
{"formula": "Zn2IrPt", "functional": "GGA-PBE", "state": "relaxed", "e_form_ev_per_atom": -0.297, "space_group": "R3m", "lattice": [[1.418, 0.819, 8.389], [-1.418, 0.819, 8.389], [0.000, -1.637, 8.389]], "species": ["Zn", "Zn", "Ir", "Pt"], "frac_coords": [[0.000, 0.000, 0.000], [0.165, 0.165, 0.165], [0.749, 0.749, 0.749], [0.583, 0.583, 0.583]]}

No. 6
{"formula": "ZnIrPt2", "functional": "GGA-PBE", "state": "relaxed", "e_form_ev_per_atom": -0.136, "space_group": "I4/mmm", "lattice": [[-1.964, 1.964, 3.881], [1.964, -1.964, 3.881], [1.964, 1.964, -3.881]], "species": ["Zn", "Ir", "Pt", "Pt"], "frac_coords": [[0.000, 0.000, 0.000], [0.500, 0.500, 0.000], [0.250, 0.750, 0.500], [0.750, 0.250, 0.500]]}

No. 7
{"formula": "Zn2IrPt", "functional": "GGA-PBE", "state": "relaxed", "e_form_ev_per_atom": -0.265, "space_group": "R-3m", "lattice": [[1.421, 0.820, 8.380], [-1.421, 0.820, 8.380], [0.000, -1.641, 8.380]], "species": ["Zn", "Zn", "Ir", "Pt"], "frac_coords": [[0.249, 0.249, 0.249], [0.751, 0.751, 0.751], [0.500, 0.500, 0.500], [0.000, 0.000, 0.000]]}

No. 8
{"formula": "ZnIrPt2", "functional": "GGA-PBE", "state": "relaxed", "e_form_ev_per_atom": -0.132, "space_group": "C2/m", "lattice": [[4.554, -1.402, 0.000], [4.554, 1.402, 0.000], [-0.860, 0.000, 4.699]], "species": ["Zn", "Ir", "Pt", "Pt"], "frac_coords": [[0.000, 0.000, 0.000], [0.500, 0.500, 0.500], [0.250, 0.250, 0.747], [0.750, 0.750, 0.253]]}

No. 9
{"formula": "ZnIrPt2", "functional": "GGA-PBE", "state": "relaxed", "e_form_ev_per_atom": -0.048, "space_group": "Pmmm", "lattice": [[3.115, 0.000, 0.000], [0.000, 4.383, 0.000], [0.000, 0.000, 4.426]], "species": ["Zn", "Ir", "Pt", "Pt"], "frac_coords": [[0.000, 0.000, 0.000], [0.500, 0.500, 0.000], [0.000, 0.500, 0.500], [0.500, 0.000, 0.500]]}

No. 10
{"formula": "Zn5IrPt", "functional": "GGA-PBE", "state": "relaxed", "e_form_ev_per_atom": 0.079, "space_group": "C2/c", "e_above_lowest_polymorph_ev_per_atom": 0.319, "lattice": [[5.303, -3.862, 0.000], [5.303, 3.862, 0.000], [-3.367, 0.000, 7.883]], "species": ["Zn", "Zn", "Zn", "Zn", "Zn", "Zn", "Zn", "Zn", "Zn", "Zn", "Ir", "Ir", "Pt", "Pt"], "frac_coords": [[0.141, 0.859, 0.750], [0.237, 0.261, 0.117], [0.261, 0.237, 0.617], [0.307, 0.671, 0.028], [0.329, 0.693, 0.472], [0.671, 0.307, 0.528], [0.693, 0.329, 0.972], [0.739, 0.763, 0.383], [0.763, 0.739, 0.883], [0.859, 0.141, 0.250], [0.000, 0.000, 0.000], [0.000, 0.000, 0.500], [0.467, 0.533, 0.750], [0.533, 0.467, 0.250]]}

No. 11
{"formula": "ZnIrPt2", "functional": "GGA-PBE", "state": "relaxed", "e_form_ev_per_atom": -0.034, "space_group": "Immm", "lattice": [[-1.380, 2.354, 4.665], [1.380, -2.354, 4.665], [1.380, 2.354, -4.665]], "species": ["Zn", "Ir", "Pt", "Pt"], "frac_coords": [[0.000, 0.000, 0.000], [0.500, 0.500, 0.000], [0.247, 0.747, 0.500], [0.753, 0.253, 0.500]]}

No. 12
{"formula": "Zn2IrPt", "functional": "GGA-PBE", "state": "relaxed", "e_form_ev_per_atom": -0.161, "space_group": "I-4m2", "lattice": [[-1.917, 1.917, 3.984], [1.917, -1.917, 3.984], [1.917, 1.917, -3.984]], "species": ["Zn", "Zn", "Ir", "Pt"], "frac_coords": [[0.000, 0.000, 0.000], [0.750, 0.250, 0.500], [0.250, 0.750, 0.500], [0.500, 0.500, 0.000]]}

Q: What is the formula in the second record?
A: Zn5IrPt4

Q: Which formula does entry 10 have?
A: Zn5IrPt